# 1
Below is crystalline Tl8In3Sn at its relaxed geometry, with properties calculated at the PBE level.

abc: 8.353 8.353 6.534
angles: 90.00 90.00 120.00
Sites, in units of the cell vectors:
Tl: 0.000 0.325 0.237
Tl: 0.000 0.675 0.763
Tl: 0.325 0.000 0.237
Tl: 0.325 0.325 0.763
Tl: 0.333 0.667 0.500
Tl: 0.667 0.333 0.500
Tl: 0.675 0.000 0.763
Tl: 0.675 0.675 0.237
In: 0.000 0.000 0.000
In: 0.333 0.667 0.000
In: 0.667 0.333 0.000
Sn: 0.000 0.000 0.500

# 2
Below is crystalline MgMnAu2 at its relaxed geometry, with properties calculated at the PBE level.

abc: 3.535 3.535 5.704
angles: 90.00 90.00 90.00
Sites, in units of the cell vectors:
Mg: 0.000 0.000 0.000
Mn: 0.500 0.500 0.301
Au: 0.000 0.000 0.488
Au: 0.500 0.500 0.798

# 3
Below is crystalline TbSm4Dy2Er2 at its relaxed geometry, with properties calculated at the PBE level.

abc: 7.996 7.996 7.990
angles: 107.46 107.46 36.79
Sites, in units of the cell vectors:
Tb: 0.000 0.000 0.000
Sm: 0.223 0.223 0.332
Sm: 0.445 0.445 0.669
Sm: 0.555 0.555 0.331
Sm: 0.777 0.777 0.668
Dy: 0.111 0.111 0.669
Dy: 0.889 0.889 0.331
Er: 0.333 0.333 0.000
Er: 0.667 0.667 0.000

| no. | energy relative to the elements (eV/atom) |
| --- | --- |
| 1 | 0.122 |
| 2 | -0.204 |
| 3 | 0.019 |